A plane-wave DFT calculation with PBE was carried out for an optimized crystal structure of RbInSn2Pb.

abc: 5.443 5.443 7.096
angles: 112.55 112.55 90.00
Positions (direct):
1 Rb 0.000 0.000 0.000
2 In 0.250 0.750 0.500
3 Sn 0.625 0.625 0.250
4 Sn 0.375 0.375 0.750
5 Pb 0.750 0.250 0.500

- ΔE_f: -13 kJ per mole of atoms
- N(E_F): 0.34 states/eV/atom
- Density: 6065 kg/m³

A plane-wave DFT calculation with PBE was carried out for an optimized crystal structure of SiMo2Br.

abc: 2.911 2.911 9.276
angles: 90.00 90.00 109.97
Positions (direct):
1 Br 0.500 0.500 0.789
2 Mo 0.000 0.000 0.019
3 Mo 0.500 0.500 0.241
4 Si 0.000 0.000 0.450

- N(E_F): 0.81 states/eV/atom
- Uncorrected energy: -26.9 eV per cell
- Density: 6742 kg/m³

> Among the records above, which one has the lowest density?

RbInSn2Pb

> Among the records above, which one has the lowest N(E_F)?

RbInSn2Pb

> Which value of density does entry 1 give?

6065 kg/m³